No. 1
VASP calculation (meta-GGA SCAN) on a crystal of YZrTl relaxed with PBEsol.

Structure (POSCAR):
```
YZrTl
1.0
7.032 0.000 0.000
0.000 7.032 0.000
0.000 0.000 7.032
Y Zr Tl
4 4 4
direct
0.000 0.000 0.000
0.000 0.500 0.500
0.500 0.000 0.500
0.500 0.500 0.000
0.250 0.250 0.250
0.250 0.750 0.750
0.750 0.250 0.750
0.750 0.750 0.250
0.250 0.250 0.750
0.250 0.750 0.250
0.750 0.250 0.250
0.750 0.750 0.750
```

Space-group type   F-43m, No. 216
Calculated formation energy   604 meV per atom
Raw total energy   -516.35 eV per cell

=====

No. 2
VASP calculation (meta-GGA SCAN) on a crystal of Tl2Zn3 relaxed with PBEsol.

Structure (POSCAR):
```
Tl2Zn3
1.0
3.654 0.000 0.000
-1.827 3.164 0.000
0.000 0.000 9.222
Tl Zn
2 3
direct
0.333 0.667 0.289
0.667 0.333 0.711
0.000 0.000 0.500
0.333 0.667 0.923
0.667 0.333 0.077
```

Space-group type   P-3m1, No. 164
Calculated formation energy   257 meV per atom
Raw total energy   -183.98 eV per cell